A relaxed structure of Zn3Pd, computed with PBEsol.

Summary:
The value obtained for the energy of formation from the pure elements is -0.371 eV/atom. Its space group is I4/mmm (139). Its total energy is -3.05 eV/atom. The calculation puts the mass density at 9.21 g/cm3.

Unit cell a=4.771 b=4.771 c=4.771 alpha=134.40 beta=134.40 gamma=66.46
Element x y z (fractional)
Zn 0.000 0.000 0.000
Zn 0.250 0.750 0.500
Zn 0.750 0.250 0.500
Pd 0.500 0.500 0.000